(1)
Computed, not measured: LaPrSm3 after structural relaxation at the PBE level of DFT.

Properties
Crystal system: orthorhombic
Energy above the most stable polymorph in this dataset (eV per atom): 0.024

a b c (Å): 9.7773 9.7773 9.7773
angles (deg): 146.52 136.88 55.66
Element x y z (fractional)
La 0.0000 0.0000 0.0000
La 0.5000 0.0000 0.5000
Pr 0.3583 0.6083 0.7500
Pr 0.6417 0.3917 0.2500
Sm 0.1405 0.3905 0.7500
Sm 0.1983 0.1997 0.9986
Sm 0.2989 0.8003 0.4986
Sm 0.7011 0.1997 0.5014
Sm 0.8017 0.8003 0.0014
Sm 0.8595 0.6095 0.2500



(2)
Computed, not measured: La6PrSm4 after structural relaxation at the PBE level of DFT.

Properties
Crystal system: tetragonal
Energy above the most stable polymorph in this dataset (eV per atom): 0.199

a b c (Å): 8.7755 8.7755 8.7755
angles (deg): 127.70 127.70 77.11
Element x y z (fractional)
La 0.0000 0.5000 0.5000
La 0.0354 0.5819 0.0000
La 0.4181 0.4181 0.4534
La 0.5000 0.0000 0.5000
La 0.5819 0.0354 0.0000
La 0.9646 0.9646 0.5466
Pr 0.0000 0.0000 0.0000
Sm 0.2530 0.2530 0.6677
Sm 0.4147 0.7470 0.0000
Sm 0.5853 0.5853 0.3323
Sm 0.7470 0.4147 0.0000



(3)
Computed, not measured: La4Pr3Sm2 after structural relaxation at the PBE level of DFT.

Properties
Crystal system: trigonal
Energy above the most stable polymorph in this dataset (eV per atom): 0.048

a b c (Å): 3.6890 3.6890 27.7870
angles (deg): 90.00 90.00 120.00
Element x y z (fractional)
La 0.0000 0.0000 0.0000
La 0.0000 0.0000 0.2208
La 0.3333 0.6667 0.3324
La 0.3333 0.6667 0.5552
Pr 0.0000 0.0000 0.4428
Pr 0.3333 0.6667 0.1082
Pr 0.3333 0.6667 0.7725
Sm 0.0000 0.0000 0.6625
Sm 0.0000 0.0000 0.8764



(4)
Computed, not measured: La4PrSm7 after structural relaxation at the PBE level of DFT.

Properties
Crystal system: monoclinic
Energy above the most stable polymorph in this dataset (eV per atom): 0.200

a b c (Å): 6.8590 6.8590 13.1002
angles (deg): 114.45 114.45 52.96
Element x y z (fractional)
La 0.0584 0.0584 0.3293
La 0.3589 0.3589 0.2232
La 0.6411 0.6411 0.7768
La 0.9416 0.9416 0.6707
Pr 0.5000 0.5000 0.0000
Sm 0.0000 0.0000 0.0000
Sm 0.2121 0.2121 0.9229
Sm 0.2490 0.2490 0.6817
Sm 0.3654 0.3654 0.4974
Sm 0.6346 0.6346 0.5026
Sm 0.7510 0.7510 0.3183
Sm 0.7879 0.7879 0.0771



(5)
Computed, not measured: La8Pr2Sm3 after structural relaxation at the PBE level of DFT.

Properties
Crystal system: monoclinic
Energy above the most stable polymorph in this dataset (eV per atom): 0.025

a b c (Å): 11.1783 11.1783 5.9143
angles (deg): 90.03 90.03 40.61
Element x y z (fractional)
La 0.0992 0.6941 0.9998
La 0.1729 0.1729 0.5010
La 0.3059 0.9008 0.0002
La 0.3667 0.3667 0.5006
La 0.6333 0.6333 0.4994
La 0.6941 0.0992 0.9998
La 0.8271 0.8271 0.4990
La 0.9008 0.3059 0.0002
Pr 0.2580 0.2580 0.0014
Pr 0.7420 0.7420 0.9986
Sm 0.2192 0.7808 0.5000
Sm 0.5000 0.5000 0.0000
Sm 0.7808 0.2192 0.5000



(6)
Computed, not measured: La4PrSm4 after structural relaxation at the PBE level of DFT.

Properties
Crystal system: tetragonal

a b c (Å): 8.2414 8.2414 8.2414
angles (deg): 95.80 95.80 142.94
Element x y z (fractional)
La 0.1673 0.1673 0.3346
La 0.1673 0.8327 0.0000
La 0.8327 0.1673 0.0000
La 0.8327 0.8327 0.6654
Pr 0.5000 0.5000 0.0000
Sm 0.1642 0.5000 0.6642
Sm 0.5000 0.1642 0.6642
Sm 0.5000 0.8358 0.3358
Sm 0.8358 0.5000 0.3358



(7)
Computed, not measured: La2PrSm2 after structural relaxation at the PBE level of DFT.

Properties
Crystal system: hexagonal
Energy above the most stable polymorph in this dataset (eV per atom): 0.087

a b c (Å): 5.8346 5.8346 12.3394
angles (deg): 90.00 90.00 120.00
Element x y z (fractional)
La 0.3333 0.6667 0.1041
La 0.3333 0.6667 0.3959
La 0.6667 0.3333 0.6041
La 0.6667 0.3333 0.8959
Pr 0.0000 0.0000 0.2500
Pr 0.0000 0.0000 0.7500
Sm 0.0000 0.0000 0.0000
Sm 0.0000 0.0000 0.5000
Sm 0.3333 0.6667 0.7500
Sm 0.6667 0.3333 0.2500



(8)
Computed, not measured: La4Pr10Sm after structural relaxation at the PBE level of DFT.

Properties
Crystal system: tetragonal

a b c (Å): 9.2418 9.2418 9.2418
angles (deg): 101.05 101.05 128.08
Element x y z (fractional)
La 0.2266 0.2266 0.4532
La 0.2266 0.7734 0.0000
La 0.7734 0.2266 0.0000
La 0.7734 0.7734 0.5468
Pr 0.0791 0.2900 0.7891
Pr 0.2500 0.7500 0.5000
Pr 0.2900 0.0791 0.7891
Pr 0.2900 0.5009 0.2109
Pr 0.4991 0.7100 0.7891
Pr 0.5009 0.2900 0.2109
Pr 0.7100 0.4991 0.7891
Pr 0.7100 0.9209 0.2109
Pr 0.7500 0.2500 0.5000
Pr 0.9209 0.7100 0.2109
Sm 0.0000 0.0000 0.0000



Number 1: DFT formation energy 0.038 eV/atom. Number 2: DFT formation energy 0.293 eV/atom. Number 3: DFT formation energy 0.063 eV/atom. Number 4: DFT formation energy 0.221 eV/atom. Number 5: DFT formation energy 0.172 eV/atom. Number 6: DFT formation energy 0.020 eV/atom. Number 7: DFT formation energy 0.192 eV/atom. Number 8: DFT formation energy 0.208 eV/atom.